Compound: Sr5Mg4In
Source: Alexandria via LeMat-Bulk
Functional: PBE
Structure: optimized geometry

Calculated values
ΔE_f   -0.136 eV/atom
V   35.96 A^3/atom
Theoretical density   3.00 Mg/m³

Cell lengths 4.153, 4.153, 20.849 Å; angles 90.00, 90.00, 90.00 degrees
Fractional positions:
Sr: 0.000 0.000 0.000
Sr: 0.000 0.000 0.203
Sr: 0.000 0.000 0.406
Sr: 0.000 0.000 0.594
Sr: 0.000 0.000 0.797
Mg: 0.500 0.500 0.100
Mg: 0.500 0.500 0.304
Mg: 0.500 0.500 0.696
Mg: 0.500 0.500 0.900
In: 0.500 0.500 0.500